No. 1
Sr3La2TbTe6 | PBE | optimized geometry

Structure (POSCAR):
```
Sr3La2TbTe6
1.0
-2.4661 2.3848 -3.0264
-2.0836 -7.8729 -4.5060
-6.1436 -0.1366 8.3561
Tb Te Sr La
1 6 3 2
Direct
0.5000 0.0000 0.0000
0.0001 0.2357 0.0001
0.6670 0.5822 0.3341
0.9999 0.7643 0.9999
0.3393 0.9168 0.6785
0.3330 0.4178 0.6659
0.6607 0.0832 0.3215
0.8312 0.1654 0.6623
0.5000 0.5000 0.0000
0.1688 0.8346 0.3377
0.8331 0.6653 0.6661
0.1669 0.3347 0.3339
```

Output
Fermi-level density of states: 0.4860 states/eV/atom
Formation energy (no corrections): -19.02 eV/f.u.
Calculated density: 5837 kg/m³
V: 416.81 Å³ per cell
Total moment: 0.000 μB per atom


No. 2
CdSn2Br | PBE | optimized geometry

Structure (POSCAR):
```
CdSn2Br
1.0
6.3323 0.0000 0.0000
0.0000 6.3323 0.0000
3.1661 3.1661 7.5911
Sn Br Cd
4 2 2
Direct
0.8750 0.9041 0.7500
0.0959 0.6250 0.2500
0.6541 0.1250 0.2500
0.3750 0.3459 0.7500
0.2500 0.7500 0.5000
0.5000 0.5000 0.0000
0.0000 0.0000 0.0000
0.7500 0.2500 0.5000
```

Output
Fermi-level density of states: 0.8103 states/eV/atom
Formation energy (no corrections): 0.81 eV/f.u.
Calculated density: 4689 kg/m³
Relative energy among the computed polymorphs: 0.535 eV/f.u.
V: 304.38 Å³ per cell
Total moment: 0.000 μB per atom


No. 3
La2ErAl | PBE | optimized geometry

Structure (POSCAR):
```
La2ErAl
1.0
-0.5487 3.4857 -1.2488
-2.3334 -1.3057 -2.6193
-6.7898 0.9317 5.5843
La Al Er
2 1 1
Direct
0.0000 0.0000 0.2154
0.0000 0.0000 0.7846
0.5000 0.5000 0.0000
0.5000 0.5000 0.5000
```

Output
Fermi-level density of states: 1.6424 states/eV/atom
Calculated density: 6329 kg/m³
Energy of formation: -0.1202 eV per atom
Relative energy among the computed polymorphs: 0.167 eV/f.u.
V: 123.86 Å³ per cell
Total moment: 0.000 μB per atom


No. 4
SrCuBi | PBE | optimized geometry

Structure (POSCAR):
```
SrCuBi
1.0
-1.5844 -5.1273 -1.1445
1.8471 1.2461 5.0144
-6.1391 1.4740 1.8951
Sr Cu Bi
2 2 2
Direct
0.6667 0.3333 0.7500
0.3333 0.6667 0.2500
0.0000 0.0000 0.0000
0.0000 0.0000 0.5000
0.6667 0.3333 0.2500
0.3333 0.6667 0.7500
```

Output
Fermi-level density of states: 0.0972 states/eV/atom
Calculated density: 6959 kg/m³
Energy of formation: -0.0475 eV per atom
V: 171.88 Å³ per cell
Total moment: 0.000 μB per atom


No. 5
YV3Ni | PBE | optimized geometry

Structure (POSCAR):
```
YV3Ni
1.0
4.6098 0.0000 0.0000
0.0000 4.6098 0.0000
0.0000 0.0000 4.6098
Y Ni V
1 1 3
Direct
0.0000 0.0000 0.0000
0.5000 0.5000 0.5000
0.0000 0.5000 0.0000
0.0000 0.0000 0.5000
0.5000 0.0000 0.0000
```

Output
Fermi-level density of states: 1.2747 states/eV/atom
Calculated density: 5093 kg/m³
Energy of formation: 2.2312 eV per atom
Relative energy among the computed polymorphs: 7.887 eV/f.u.
V: 97.96 Å³ per cell
Total moment: 0.928 μB per atom


No. 6
BeFeAg | PBE | optimized geometry

Structure (POSCAR):
```
BeFeAg
1.0
-1.6330 -1.5296 1.4800
2.4194 -0.9167 -0.7093
2.4282 2.4091 5.1691
Ag Be Fe
1 1 1
Direct
0.0000 0.0000 0.0156
0.6667 0.3333 0.3501
0.3333 0.6667 0.6344
```

Output
Fermi-level density of states: 0.7571 states/eV/atom
Calculated density: 7424 kg/m³
Energy of formation: 0.3168 eV per atom
Relative energy among the computed polymorphs: 0.401 eV/f.u.
V: 38.63 Å³ per cell
Total moment: 0.733 μB per atom


No. 7
DyEr2PaCo2 | PBE | optimized geometry

Structure (POSCAR):
```
DyEr2PaCo2
1.0
6.6957 0.0000 0.0000
0.0000 6.8219 0.0000
-3.3478 -3.4109 6.2677
Er Co Dy Pa
4 4 2 2
Direct
0.7022 0.8994 0.4044
0.7978 0.4950 0.5956
0.2978 0.1006 0.5956
0.2022 0.5050 0.4044
0.0909 0.7961 0.1818
0.4091 0.6143 0.8182
0.9091 0.2039 0.8182
0.5909 0.3857 0.1818
0.2500 0.0000 0.0000
0.7500 0.0000 0.0000
0.2500 0.5000 0.0000
0.7500 0.5000 0.0000
```

Output
Fermi-level density of states: 1.1072 states/eV/atom
Calculated density: 9813 kg/m³
Energy of formation: -0.1833 eV per atom
V: 286.29 Å³ per cell
Total moment: 0.000 μB per atom


No. 8
Mg3Cd | PBE | optimized geometry

Structure (POSCAR):
```
Mg3Cd
1.0
3.2014 0.0000 0.0000
-1.6007 2.7725 0.0000
0.0000 0.0000 10.1551
Mg Cd
3 1
Direct
0.0000 0.0000 0.5000
0.3333 0.6667 0.2455
0.3333 0.6667 0.7545
0.0000 0.0000 0.0000
```

Output
Fermi-level density of states: 0.3536 states/eV/atom
Calculated density: 3414 kg/m³
Energy of formation: -0.0316 eV per atom
V: 90.13 Å³ per cell
Total moment: 0.000 μB per atom


No. 9
Pa3TeAs2 | PBE | optimized geometry

Structure (POSCAR):
```
Pa3TeAs2
1.0
-1.9430 -3.7092 -2.3756
6.2834 1.3787 -2.4137
3.7665 -6.0422 6.3535
Te Pa As
2 6 4
Direct
0.7867 0.5733 0.7500
0.2133 0.4267 0.2500
0.6338 0.2676 0.4624
0.3662 0.7324 0.5376
0.3662 0.7324 0.9624
0.1287 0.2573 0.7500
0.8713 0.7427 0.2500
0.6338 0.2676 0.0376
0.4812 0.9624 0.2500
0.5188 0.0377 0.7500
0.0000 0.0000 0.0000
0.0000 0.0000 0.5000
```

Output
Fermi-level density of states: 1.6158 states/eV/atom
Formation energy (no corrections): -3.69 eV/f.u.
Calculated density: 10903 kg/m³
V: 295.64 Å³ per cell
Total moment: 0.000 μB per atom


No. 10
RbLi2Ta | PBE | optimized geometry

Structure (POSCAR):
```
RbLi2Ta
1.0
-2.5733 -3.7565 2.9546
-5.4253 -0.0950 0.1400
-2.7088 -4.0055 -2.4659
Rb Li Ta
1 2 1
Direct
0.0000 0.0000 0.0000
0.7500 0.7500 0.7500
0.2500 0.2500 0.2500
0.5000 0.5000 0.5000
```

Output
Fermi-level density of states: 1.5932 states/eV/atom
Calculated density: 4116 kg/m³
Energy of formation: 1.3664 eV per atom
Relative energy among the computed polymorphs: 0.000 eV/f.u.
V: 113.08 Å³ per cell
Total moment: 1.018 μB per atom


No. 11
Nd2Sm3Er5 | PBE | optimized geometry

Structure (POSCAR):
```
Nd2Sm3Er5
1.0
-0.0754 6.0718 -3.0836
-11.7809 3.7515 0.1546
-6.7538 7.4103 7.2360
Nd Sm Er
4 6 10
Direct
0.6261 0.9766 0.7711
0.8739 0.2289 0.0234
0.3739 0.0234 0.2289
0.1261 0.7711 0.9766
0.1306 0.1216 0.6172
0.8694 0.8784 0.3828
0.7500 0.0000 0.0000
0.6306 0.6172 0.1216
0.3694 0.3828 0.8784
0.2500 0.0000 0.0000
0.2500 0.5000 0.5000
0.5017 0.7483 0.7483
0.6247 0.2893 0.4612
0.4983 0.2517 0.2517
0.0017 0.7483 0.7483
0.9983 0.2517 0.2517
0.1247 0.4612 0.2893
0.8753 0.5388 0.7107
0.7500 0.5000 0.5000
0.3753 0.7107 0.5388
```

Output
Fermi-level density of states: 1.5631 states/eV/atom
Calculated density: 7473 kg/m³
Energy of formation: 0.3981 eV per atom
Relative energy among the computed polymorphs: 2.129 eV/f.u.
V: 700.37 Å³ per cell
Total moment: 0.000 μB per atom


No. 12
Pa2AgOs | PBE | optimized geometry

Structure (POSCAR):
```
Pa2AgOs
1.0
3.0450 0.0000 0.0000
1.5225 2.6371 0.0000
1.5225 0.8790 10.8782
Os Ag Pa
1 1 2
Direct
0.5000 0.5000 0.5000
0.0000 0.0000 0.0000
0.9055 0.9055 0.2835
0.0945 0.0945 0.7165
```

Output
Fermi-level density of states: 1.3969 states/eV/atom
Calculated density: 14451 kg/m³
Energy of formation: 0.2926 eV per atom
Relative energy among the computed polymorphs: 1.538 eV/f.u.
V: 87.35 Å³ per cell
Total moment: 0.000 μB per atom


No. 13
TeP2OF | PBE | optimized geometry

Structure (POSCAR):
```
TeP2OF
1.0
4.0645 0.0000 0.0000
0.0000 4.0645 0.0000
0.0000 0.0000 4.7389
F Te P O
1 1 2 1
Direct
0.0000 0.0000 0.0000
0.5000 0.5000 0.5000
0.5000 0.0000 0.0000
0.0000 0.5000 0.0000
0.0000 0.0000 0.5000
```

Output
Fermi-level density of states: 1.2987 states/eV/atom
Formation energy (no corrections): 3.33 eV/f.u.
Calculated density: 4763 kg/m³
Relative energy among the computed polymorphs: 0.248 eV/f.u.
V: 78.29 Å³ per cell
Total moment: 0.000 μB per atom


No. 14
Nd2YGa3 | PBE | optimized geometry

Structure (POSCAR):
```
Nd2YGa3
1.0
-2.1787 -3.9086 2.5805
3.0450 -0.9642 -4.0596
10.1032 -0.5434 7.7071
Nd Ga Y
4 6 2
Direct
0.0000 0.0000 0.5000
0.3333 0.6667 0.1704
0.0000 0.0000 0.0000
0.6667 0.3333 0.8296
0.3333 0.6667 0.4183
0.0000 0.0000 0.7469
0.0000 0.0000 0.2531
0.6667 0.3333 0.0849
0.3333 0.6667 0.9151
0.6667 0.3333 0.5817
0.6667 0.3333 0.3334
0.3333 0.6667 0.6666
```

Output
Fermi-level density of states: 0.4365 states/eV/atom
Calculated density: 6628 kg/m³
Energy of formation: -0.5695 eV per atom
V: 293.90 Å³ per cell
Total moment: 0.000 μB per atom


No. 15
Dy4GaCu3 | PBE | optimized geometry

Structure (POSCAR):
```
Dy4GaCu3
1.0
-1.5034 -0.4444 3.3036
3.8280 -1.7410 1.5079
3.3566 9.8513 2.8527
Dy Cu Ga
4 3 1
Direct
0.5000 0.5000 0.3637
0.0000 0.5000 0.8475
0.5000 0.0000 0.6380
0.0000 0.0000 0.1488
0.0000 0.5000 0.5704
0.0000 0.0000 0.4311
0.5000 0.0000 0.9266
0.5000 0.5000 0.0739
```

Output
Fermi-level density of states: 0.9829 states/eV/atom
Calculated density: 8575 kg/m³
Energy of formation: -0.3199 eV per atom
Relative energy among the computed polymorphs: 0.116 eV/f.u.
V: 176.29 Å³ per cell
Total moment: 0.000 μB per atom


No. 16
KSr2ZnIr | PBE | optimized geometry

Structure (POSCAR):
```
KSr2ZnIr
1.0
5.8632 0.0000 0.0000
0.0000 5.8632 0.0000
0.0000 0.0000 5.1515
Sr Ir K Zn
2 1 1 1
Direct
0.5000 0.0000 0.0000
0.0000 0.5000 0.0000
0.0000 0.0000 0.0000
0.5000 0.5000 0.5000
0.0000 0.0000 0.5000
```

Output
Fermi-level density of states: 0.7023 states/eV/atom
Calculated density: 4425 kg/m³
Energy of formation: -0.0396 eV per atom
V: 177.09 Å³ per cell
Total moment: 0.000 μB per atom


No. 17
Rb2CaTcI6 | PBE | optimized geometry

Structure (POSCAR):
```
Rb2CaTcI6
1.0
8.2953 0.0000 0.0000
0.0000 8.2953 0.0000
4.1476 4.1476 5.8642
I Rb Tc Ca
6 2 1 1
Direct
0.7637 0.7637 0.4725
0.2362 0.7638 0.0000
0.2362 0.2362 0.0000
0.7638 0.7638 0.0000
0.7638 0.2362 0.0000
0.2363 0.2363 0.5275
0.7500 0.2500 0.5000
0.2500 0.7500 0.5000
0.0000 0.0000 0.0000
0.5000 0.5000 0.0000
```

Output
Fermi-level density of states: 0.7618 states/eV/atom
Formation energy (no corrections): -8.88 eV/f.u.
Calculated density: 4405 kg/m³
V: 403.52 Å³ per cell
Total moment: 0.100 μB per atom


No. 18
MgRu4Cl | PBE | optimized geometry

Structure (POSCAR):
```
MgRu4Cl
1.0
3.7045 2.8135 2.3992
-1.1392 4.7364 1.9140
-0.2218 0.7471 5.1757
Ru Mg Cl
4 1 1
Direct
0.6245 0.1265 0.6245
0.6245 0.6245 0.6245
0.1265 0.6245 0.6245
0.6245 0.6245 0.1265
0.0000 0.0000 0.0000
0.2500 0.2500 0.2500
```

Output
Fermi-level density of states: 1.2050 states/eV/atom
Formation energy (no corrections): 4.75 eV/f.u.
Calculated density: 7600 kg/m³
V: 101.39 Å³ per cell
Total moment: 0.782 μB per atom


No. 19
HfBe3Bi | PBE | optimized geometry

Structure (POSCAR):
```
HfBe3Bi
1.0
-0.7156 -3.4220 -3.2079
2.0427 -3.1485 2.9029
-4.2223 -0.9432 1.9481
Be Hf Bi
3 1 1
Direct
0.0000 0.0000 0.5000
0.0000 0.5000 0.0000
0.5000 0.0000 0.0000
0.0000 0.0000 0.0000
0.5000 0.5000 0.5000
```

Output
Fermi-level density of states: 0.8727 states/eV/atom
Calculated density: 6444 kg/m³
Energy of formation: 1.4459 eV per atom
Relative energy among the computed polymorphs: 0.000 eV/f.u.
V: 106.82 Å³ per cell
Total moment: 0.000 μB per atom


No. 20
CdGe | PBE | optimized geometry

Structure (POSCAR):
```
CdGe
1.0
10.5557 0.0000 0.0000
0.0000 4.1758 0.0000
0.0000 0.0000 6.6637
Ge Cd
6 6
Direct
0.6207 0.6650 0.1004
0.3793 0.6650 0.1004
0.5000 0.1563 0.8726
0.8793 0.3350 0.6004
0.1207 0.3350 0.6004
0.0000 0.8437 0.3726
0.7696 0.1693 0.2333
0.7304 0.8307 0.7333
0.0000 0.0855 0.9620
0.2304 0.1693 0.2333
0.2696 0.8307 0.7333
0.5000 0.9145 0.4620
```

Output
Fermi-level density of states: 0.3605 states/eV/atom
Calculated density: 6277 kg/m³
Energy of formation: 0.2293 eV per atom
V: 293.73 Å³ per cell
Total moment: 0.000 μB per atom


No. 21
Dy4PaP5 | PBE | optimized geometry

Structure (POSCAR):
```
Dy4PaP5
1.0
5.0877 0.0000 2.4539
2.5438 6.3115 1.2270
-0.1981 0.0000 6.9118
P Dy Pa
5 4 1
Direct
0.0988 0.6075 0.1969
0.5011 0.0000 0.0000
0.2957 0.8031 0.6075
0.7063 0.1969 0.3925
0.9032 0.3925 0.8031
0.8031 0.7969 0.5989
0.6000 0.5989 0.2031
0.4020 0.4011 0.7969
0.1989 0.2031 0.4011
0.0010 0.0000 0.0000
```

Output
Fermi-level density of states: 0.4407 states/eV/atom
Calculated density: 7645 kg/m³
Energy of formation: -1.5687 eV per atom
V: 225.01 Å³ per cell
Total moment: 0.000 μB per atom


No. 22
YTeOs3 | PBE | optimized geometry

Structure (POSCAR):
```
YTeOs3
1.0
4.8163 0.0000 0.0000
0.0000 4.8163 0.0000
0.0000 0.0000 4.8163
Y Os Te
1 3 1
Direct
0.5000 0.5000 0.5000
0.5000 0.0000 0.0000
0.0000 0.0000 0.5000
0.0000 0.5000 0.0000
0.0000 0.0000 0.0000
```

Output
Fermi-level density of states: 0.7102 states/eV/atom
Formation energy (no corrections): 7.40 eV/f.u.
Calculated density: 11700 kg/m³
Relative energy among the computed polymorphs: 0.000 eV/f.u.
V: 111.73 Å³ per cell
Total moment: 0.000 μB per atom


No. 23
TcAs2Ru | PBE | optimized geometry

Structure (POSCAR):
```
TcAs2Ru
1.0
-1.6119 2.3653 -0.6170
-2.2566 -1.1558 1.4647
2.5376 3.4617 6.6413
As Ru Tc
2 1 1
Direct
0.0000 0.0000 0.9393
0.5000 0.5000 0.3133
0.0000 0.0000 0.5082
0.5000 0.5000 0.7392
```

Output
Fermi-level density of states: 0.7981 states/eV/atom
Calculated density: 8546 kg/m³
Energy of formation: -0.0558 eV per atom
Relative energy among the computed polymorphs: 0.273 eV/f.u.
V: 67.80 Å³ per cell
Total moment: 0.000 μB per atom


No. 24
SmH3Pd | PBE | optimized geometry

Structure (POSCAR):
```
SmH3Pd
1.0
7.3901 0.0001 0.0000
-3.6887 5.4962 0.0000
0.0000 0.0000 5.4616
Pd H Sm
4 12 4
Direct
0.6363 0.7718 0.7500
0.1363 0.7718 0.7500
0.3637 0.2282 0.2500
0.8637 0.2282 0.2500
0.2500 0.0000 0.5000
0.7500 0.0000 0.5000
0.5282 0.5588 0.2500
0.1333 0.2674 0.2499
0.2500 0.0000 0.0000
0.4718 0.4412 0.7500
0.8667 0.7326 0.7501
0.0282 0.5588 0.2500
0.7500 0.0000 0.0000
0.3667 0.7326 0.7499
0.6333 0.2674 0.2501
0.9718 0.4412 0.7500
0.6260 0.2491 0.7500
0.1260 0.2491 0.7500
0.3740 0.7509 0.2500
0.8740 0.7509 0.2500
```

Output
Fermi-level density of states: 0.1547 states/eV/atom
Calculated density: 7779 kg/m³
Electronic total energy: -4.454 eV per atom
V: 221.83 Å³ per cell
Total moment: 0.000 μB per atom